Density functional theory data (PBE) for crystalline BaNaLa2Au4 at its relaxed geometry.

Values from the calculation:
The value obtained for the total magnetization is 0.000 μB per formula unit. The formation energy comes out at -645.0 meV/atom. The density of states at the Fermi level is 19.6 states/eV/cell. As for the crystal system: trigonal.

Unit cell a=5.2268 b=5.2268 c=28.3512 alpha=90.00 beta=90.00 gamma=120.00
Space group R-3m (No. 166, hexagonal axes)
One atom of each set of equivalent atoms:
Ba  0.0000  0.0000  0.0000
Na  0.0000  0.0000  0.5000
La  0.0000  0.0000  0.2358
Au  0.0000  0.0000  0.1236
Au  0.0000  0.0000  0.3939